DFT (PBE) results for Sr2YPb after structural relaxation.

Lattice parameters (Å, degrees): 12.2247 12.2247 12.2247 18.24 18.24 18.24
Closest atoms and distances in Å follow each position.
Sites, in units of the cell vectors:
Pb 0.7500 0.7500 0.7500  6 Sr 3.56, 6 Pb 3.88
Sr 0.0066 0.0066 0.0066  3 Pb 3.56, 6 Sr 3.88, 3 Y 3.94
Sr 0.4934 0.4934 0.4934  3 Pb 3.56, 6 Sr 3.88, 3 Y 3.94
Y 0.2500 0.2500 0.2500  6 Y 3.88, 6 Sr 3.94

Results
Energy of formation, eV per atom: -0.0369
Uncorrected energy, eV/atom: -3.421
Symmetry: R-3m
M_tot, Bohr magnetons per cell: 1.15